KTaBe2 | meta-GGA SCAN | PBEsol geometry

Unit cell a=4.5710 b=4.5710 c=4.5710 alpha=60.00 beta=60.00 gamma=60.00
Element x y z (fractional)
K: 0.0000 0.0000 0.0000
Ta: 0.5000 0.5000 0.5000
Be: 0.2500 0.2500 0.2500
Be: 0.7500 0.7500 0.7500

The energy comes out at -77.6 eV per cell. The calculation puts the density of states at the Fermi level at 0.649 states/eV/atom. For the formation enthalpy at 0 K, the calculation gives 1.503 eV per atom.